(1)
Density functional theory data (PBE) for a relaxed BaFe4P crystal.

Output
Spin magnetization (μB per cell): 11.1
Final energy (eV/atom): -6.292
Density of states at the Fermi level (states/eV/cell): 4.816
ΔH_f (0 K) (eV per atom): 0.57

Cell lengths 5.2143, 5.2143, 5.2143 Å; angles 60.00, 60.00, 60.00 degrees
Positions (direct):
Ba 0.0000 0.0000 0.0000
P 0.7500 0.7500 0.7500
Fe 0.3765 0.8704 0.3765
Fe 0.3765 0.3765 0.8704
Fe 0.3765 0.3765 0.3765
Fe 0.8704 0.3765 0.3765

(2)
Density functional theory data (PBE) for a relaxed Ba2FeP crystal.

Output
Spin magnetization (μB per cell): 1.3
Final energy (eV/atom): -4.686
Density of states at the Fermi level (states/eV/cell): 4.592
ΔH_f (0 K) (eV per atom): -0.26

Cell lengths 8.6734, 8.6734, 4.4476 Å; angles 75.17, 75.17, 28.13 degrees
Positions (direct):
P 0.1498 0.1498 0.3503
Fe 0.6039 0.6039 0.3959
Ba 0.0065 0.0065 0.9934
Ba 0.7398 0.7398 0.7605

Question: What is the final energy in the second record?
Answer: -4.686 eV/atom